Record 1
Li2PmSnAu2 | the Alexandria database | PBE-GGA | relaxed; volume = 20.25 Å³/atom; VASP energy = -22.9 eV for the cell shown; ΔE_f = -0.633 eV/atom
1.0
-0.043 -2.288 4.011
-3.402 -0.635 -3.057
3.400 -4.909 -2.764
Sn Li Au Pm
1 2 2 1
Cartesian
1.700 -2.454 -1.382
0.020 -4.511 -2.573
-0.066 -3.321 0.763
-1.415 -2.438 -1.406
1.370 -5.394 -0.404
0.000 0.000 0.000

=====

Record 2
Fe2SiAs | the Alexandria database | PBE-GGA | relaxed; volume = 13.38 Å³/atom; VASP energy = -25.9 eV for the cell shown; ΔE_f (raw) = 103 kJ/mol of formula units
1.0
4.230 0.000 0.000
2.115 3.663 0.000
2.115 1.221 3.454
Fe As Si
2 1 1
Cartesian
0.000 0.000 0.000
2.115 1.221 0.863
4.230 2.442 1.727
6.345 3.663 2.590

=====

Record 3
CrRh2 | the Alexandria database | PBE-GGA | relaxed; volume = 15.59 Å³/atom; VASP energy = -46.7 eV for the cell shown; ΔE_f = 0.323 eV/atom
1.0
-2.370 -4.505 0.213
-4.717 -0.487 -1.862
-0.791 -2.667 -4.268
Rh Cr
4 2
Cartesian
-3.343 -1.201 -1.671
-1.380 -2.291 -2.874
-0.985 -0.957 -0.740
-2.170 -3.210 -0.633
-3.939 -3.830 -2.959
-5.909 -5.745 -4.438